GdPaRuRh PBE-GGA relaxed; ΔE_f = -502.1 meV/atom; space-group type = F-43m (216)
1.0
-4.733 -0.359 -1.076
-2.515 -3.937 1.367
-3.331 0.345 3.532
Pa Ru Gd Rh
1 1 1 1
Cartesian
0.000 0.000 0.000
-7.934 -2.962 2.867
-5.290 -1.975 1.912
-2.645 -0.987 0.956


LiCr2 PBE-GGA relaxed; polymorph energy (0 for the lowest one) = 4.37 kJ per mole of atoms; ΔE_f = 462.9 meV/atom; space-group type = I4/mmm (139)
1.0
-6.517 0.771 2.272
-5.069 -1.027 4.635
6.231 1.513 -2.668
Cr Li
2 1
Cartesian
-7.771 -0.172 4.633
-3.815 -0.085 2.274
0.000 0.000 0.000


KScTc PBE-GGA relaxed; polymorph energy (0 for the lowest one) = 80.53 kJ per mole of atoms; ΔE_f = 1475.3 meV/atom; space-group type = F-43m (216)
1.0
-1.277 -4.364 1.780
1.116 -4.064 -2.466
3.421 -3.033 1.713
Tc K Sc
1 1 1
Cartesian
2.445 -8.596 0.771
0.000 0.000 0.000
1.630 -5.730 0.514


| no. | spin magnetization (μB/f.u.) | calculated volume (Å³ per atom) |
| --- | --- | --- |
| 1 | 7.2 | 20.382 |
| 2 | 0.0 | 12.266 |
| 3 | 1.1 | 27.434 |